Compound: MoRu5
Source: the Alexandria database
Functional: PBE-GGA
Structure: optimized geometry

abc: 5.027 5.027 5.027
angles: 60.00 60.00 60.00
Fractional positions:
Mo 0.000 0.000 0.000
Ru 0.126 0.625 0.625
Ru 0.250 0.250 0.250
Ru 0.625 0.126 0.625
Ru 0.625 0.625 0.126
Ru 0.625 0.625 0.625

Results
Energy relative to the lowest polymorph listed for this composition = 483 meV/atom
Crystal system = cubic
Energy of formation from the pure elements = 461 meV per atom

Compound: La2AgTe
Source: the Alexandria database
Functional: PBE-GGA
Structure: optimized geometry

abc: 4.315 24.818 4.767
angles: 90.00 90.00 90.00
Fractional positions:
La 0.000 0.062 0.250
La 0.000 0.321 0.250
La 0.000 0.679 0.750
La 0.000 0.938 0.750
La 0.500 0.179 0.750
La 0.500 0.438 0.750
La 0.500 0.562 0.250
La 0.500 0.821 0.250
Ag 0.000 0.461 0.250
Ag 0.000 0.539 0.750
Ag 0.500 0.039 0.750
Ag 0.500 0.961 0.250
Te 0.000 0.191 0.250
Te 0.000 0.809 0.750
Te 0.500 0.309 0.750
Te 0.500 0.691 0.250

Results
E_form (uncorrected) = -0.879 eV/atom
Crystal system = orthorhombic

Compound: CaFeP2
Source: the Alexandria database
Functional: PBE-GGA
Structure: optimized geometry

abc: 3.817 5.746 6.549
angles: 90.00 90.00 90.00
Fractional positions:
Ca 0.000 0.000 0.000
Ca 0.500 0.500 0.500
Fe 0.000 0.000 0.500
Fe 0.500 0.500 0.000
P 0.000 0.500 0.173
P 0.000 0.500 0.827
P 0.500 0.000 0.327
P 0.500 0.000 0.673

Results
Energy relative to the lowest polymorph listed for this composition = 215 meV/atom
Crystal system = orthorhombic
Energy of formation from the pure elements = -425 meV per atom

Compound: ZrCd3Ge
Source: the Alexandria database
Functional: PBE-GGA
Structure: optimized geometry

abc: 5.522 5.522 5.522
angles: 90.00 90.00 90.00
Fractional positions:
Zr 0.000 0.000 0.000
Cd 0.000 0.000 0.500
Cd 0.000 0.500 0.000
Cd 0.500 0.000 0.000
Ge 0.500 0.500 0.500

Results
Energy relative to the lowest polymorph listed for this composition = 379 meV/atom
Crystal system = cubic
Energy of formation from the pure elements = 1068 meV per atom

Compound: Tm3Fe5N12
Source: the Alexandria database
Functional: PBE-GGA
Structure: optimized geometry

abc: 10.408 10.408 10.408
angles: 109.47 109.47 109.47
Fractional positions:
Tm 0.125 0.250 0.375
Tm 0.125 0.375 0.750
Tm 0.250 0.375 0.125
Tm 0.250 0.875 0.625
Tm 0.375 0.125 0.250
Tm 0.375 0.750 0.125
Tm 0.625 0.250 0.875
Tm 0.625 0.875 0.750
Tm 0.750 0.125 0.375
Tm 0.750 0.625 0.875
Tm 0.875 0.625 0.250
Tm 0.875 0.750 0.625
Fe 0.000 0.000 0.000
Fe 0.000 0.000 0.500
Fe 0.000 0.500 0.000
Fe 0.000 0.500 0.500
Fe 0.125 0.750 0.875
Fe 0.125 0.875 0.250
Fe 0.250 0.125 0.875
Fe 0.250 0.625 0.375
Fe 0.375 0.250 0.625
Fe 0.375 0.625 0.750
Fe 0.500 0.000 0.000
Fe 0.500 0.000 0.500
Fe 0.500 0.500 0.000
Fe 0.500 0.500 0.500
Fe 0.625 0.375 0.250
Fe 0.625 0.750 0.375
Fe 0.750 0.375 0.625
Fe 0.750 0.875 0.125
Fe 0.875 0.125 0.750
Fe 0.875 0.250 0.125
N 0.015 0.201 0.113
N 0.015 0.314 0.902
N 0.088 0.701 0.686
N 0.088 0.887 0.402
N 0.098 0.613 0.412
N 0.098 0.985 0.686
N 0.113 0.015 0.201
N 0.113 0.598 0.912
N 0.186 0.201 0.588
N 0.186 0.485 0.598
N 0.201 0.113 0.015
N 0.201 0.588 0.186
N 0.299 0.314 0.912
N 0.299 0.485 0.387
N 0.314 0.902 0.015
N 0.314 0.912 0.299
N 0.387 0.299 0.485
N 0.387 0.588 0.902
N 0.402 0.088 0.887
N 0.402 0.814 0.515
N 0.412 0.098 0.613
N 0.412 0.814 0.799
N 0.485 0.387 0.299
N 0.485 0.598 0.186
N 0.515 0.402 0.814
N 0.515 0.613 0.701
N 0.588 0.186 0.201
N 0.588 0.902 0.387
N 0.598 0.186 0.485
N 0.598 0.912 0.113
N 0.613 0.412 0.098
N 0.613 0.701 0.515
N 0.686 0.088 0.701
N 0.686 0.098 0.985
N 0.701 0.515 0.613
N 0.701 0.686 0.088
N 0.799 0.412 0.814
N 0.799 0.887 0.985
N 0.814 0.515 0.402
N 0.814 0.799 0.412
N 0.887 0.402 0.088
N 0.887 0.985 0.799
N 0.902 0.015 0.314
N 0.902 0.387 0.588
N 0.912 0.113 0.598
N 0.912 0.299 0.314
N 0.985 0.686 0.098
N 0.985 0.799 0.887

Results
E_form (uncorrected) = -0.231 eV/atom
Crystal system = cubic

Compound: Fe2CoOs
Source: the Alexandria database
Functional: PBE-GGA
Structure: optimized geometry

abc: 2.853 4.184 8.279
angles: 90.00 90.00 90.00
Fractional positions:
Fe 0.000 0.000 0.000
Fe 0.000 0.500 0.260
Fe 0.500 0.000 0.760
Fe 0.500 0.500 0.500
Co 0.000 0.000 0.515
Co 0.500 0.500 0.015
Os 0.000 0.500 0.754
Os 0.500 0.000 0.254

Results
Crystal system = orthorhombic
Energy of formation from the pure elements = 151 meV per atom

Compound: LaMg2AuN
Source: the Alexandria database
Functional: PBE-GGA
Structure: optimized geometry

abc: 4.315 4.315 5.188
angles: 90.00 90.00 90.00
Fractional positions:
La 0.000 0.000 0.000
Mg 0.000 0.500 0.500
Mg 0.500 0.000 0.500
Au 0.500 0.500 0.000
N 0.000 0.000 0.500

Results
E_form (uncorrected) = -0.668 eV/atom
Crystal system = tetragonal

Compound: ZrTi2Be
Source: the Alexandria database
Functional: PBE-GGA
Structure: optimized geometry

abc: 3.031 3.031 7.199
angles: 90.00 90.00 90.00
Fractional positions:
Zr 0.000 0.000 0.000
Ti 0.500 0.500 0.299
Ti 0.500 0.500 0.701
Be 0.000 0.000 0.500

Results
Crystal system = tetragonal
Energy of formation from the pure elements = 14 meV per atom

Compound: Li2BeCr
Source: the Alexandria database
Functional: PBE-GGA
Structure: optimized geometry

abc: 2.297 3.949 5.434
angles: 90.00 90.00 90.00
Fractional positions:
Li 0.000 0.000 0.000
Li 0.500 0.500 0.264
Be 0.000 0.000 0.544
Cr 0.500 0.500 0.722

Results
Crystal system = orthorhombic
Energy of formation from the pure elements = 365 meV per atom

Compound: Nd3B2SbRh9
Source: the Alexandria database
Functional: PBE-GGA
Structure: optimized geometry

abc: 6.161 6.161 7.999
angles: 90.00 90.00 120.00
Fractional positions:
Nd 0.000 0.000 0.000
Nd 0.333 0.667 0.666
Nd 0.667 0.333 0.334
B 0.333 0.667 0.136
B 0.667 0.333 0.864
Sb 0.000 0.000 0.500
Rh 0.000 0.500 0.000
Rh 0.179 0.358 0.296
Rh 0.179 0.821 0.296
Rh 0.358 0.179 0.704
Rh 0.500 0.000 0.000
Rh 0.500 0.500 0.000
Rh 0.642 0.821 0.296
Rh 0.821 0.179 0.704
Rh 0.821 0.642 0.704

Results
E_form (uncorrected) = -0.580 eV/atom
Crystal system = trigonal

Compound: Be3NbFe
Source: the Alexandria database
Functional: PBE-GGA
Structure: optimized geometry

abc: 4.214 4.214 4.214
angles: 90.00 90.00 90.00
Fractional positions:
Be 0.000 0.000 0.500
Be 0.000 0.500 0.000
Be 0.500 0.000 0.000
Nb 0.000 0.000 0.000
Fe 0.500 0.500 0.500

Results
Energy relative to the lowest polymorph listed for this composition = 1416 meV/atom
Crystal system = cubic
Energy of formation from the pure elements = 1736 meV per atom

Compound: Hg2BrCl
Source: the Alexandria database
Functional: PBE-GGA
Structure: optimized geometry

abc: 4.083 4.173 7.303
angles: 90.00 90.00 90.00
Fractional positions:
Hg 0.000 0.000 0.000
Hg 0.000 0.500 0.500
Br 0.500 0.000 0.500
Cl 0.500 0.500 0.000

Results
Energy relative to the lowest polymorph listed for this composition = 182 meV/atom
E_form (uncorrected) = -0.163 eV/atom
Crystal system = orthorhombic

| no. | E (eV per cell) |
| --- | --- |
| 1 | -54.44 |
| 2 | -77.46 |
| 3 | -45.97 |
| 4 | -10.57 |
| 5 | -641.01 |
| 6 | -69.31 |
| 7 | -23.06 |
| 8 | -28.01 |
| 9 | -15.72 |
| 10 | -106.64 |
| 11 | -21.03 |
| 12 | -4.78 |